# ZrGa2Os (GGA-PBEsol, relaxed)
# * energy relative to the elements: -0.309 eV per atom
# * ρ: 11285 kg/m3
# * spin magnetization: 0.0 μB/f.u.
# * crystal system: cubic
# * VASP energy: -29.22 eV/f.u.
# * N(E_F): 1.10 states/eV/f.u.
data_ZrGa2Os
_chemical_formula_sum 'Zr4 Ga8 Os4'
_cell_length_a 6.281
_cell_length_b 6.281
_cell_length_c 6.281
_cell_angle_alpha 90.00
_cell_angle_beta 90.00
_cell_angle_gamma 90.00
_symmetry_space_group_name_H-M 'F m -3 m'
_symmetry_Int_Tables_number 225
_symmetry_space_group_name_Hall '-F 4 2 3'
loop_
_atom_site_label
_atom_site_fract_x
_atom_site_fract_y
_atom_site_fract_z
Zr1 0.000 0.000 0.000
Ga1 0.250 0.250 0.250
Os1 0.000 0.000 0.500